Sc2AgHg8 | PBE-GGA | optimized geometry

The space group is P4/mmm (No. 123) and the conventional cell measures 4.4839, 4.4839 and 12.5766 Å, with angles of 90.00, 90.00 and 90.00 degrees. The inequivalent atoms are Sc at (0.0000, 0.0000, 0.1849), Ag at (0.0000, 0.0000, 0.5000), Hg at (0.0000, 0.5000, 0.0000), Hg at (0.0000, 0.5000, 0.3549) and Hg at (0.5000, 0.5000, 0.1747).

The formation energy is -0.132 eV/atom.


NaPm2Sn | PBE-GGA | optimized geometry

The space group is P4/mmm (No. 123) and the conventional cell measures 3.5478, 3.5478 and 10.2577 Å, with angles of 90.00, 90.00 and 90.00 degrees. The inequivalent atoms are Na at (0.0000, 0.0000, 0.0000), Pm at (0.5000, 0.5000, 0.2932) and Sn at (0.0000, 0.0000, 0.5000).

The formation energy is -0.214 eV/atom.


- Which formula does entry 2 have?
  NaPm2Sn